(1)
A plane-wave DFT calculation with GGA-PBE was carried out for a geometry-optimized HoErLuTh structure.

It has space group F-43m (No. 216), with a = 7.9309 Å, b = 7.9309 Å, c = 7.9309 Å, α = 90.00°, β = 90.00° and γ = 90.00°. The asymmetric unit holds Ho at (0.0000, 0.0000, 0.0000), Er at (0.2500, 0.2500, 0.2500), Lu at (0.2500, 0.2500, 0.7500) and Th at (0.0000, 0.0000, 0.5000).

***

(2)
A plane-wave DFT calculation with GGA-PBE was carried out for a geometry-optimized BeNi3Br structure.

It has space group Pm-3m (No. 221), with a = 4.0512 Å, b = 4.0512 Å, c = 4.0512 Å, α = 90.00°, β = 90.00° and γ = 90.00°. The asymmetric unit holds Be at (0.0000, 0.0000, 0.0000), Ni at (0.0000, 0.0000, 0.5000) and Br at (0.5000, 0.5000, 0.5000).

As for the energy relative to the elements, uncorrected: 0.58 eV/atom. The calculation puts the energy relative to the lowest polymorph listed for this composition at 0 meV per atom.

***

(3)
A plane-wave DFT calculation with GGA-PBE was carried out for a geometry-optimized UGeN structure.

It has space group P-6m2 (No. 187), with a = 3.7315 Å, b = 3.7315 Å, c = 4.4442 Å, α = 90.00°, β = 90.00° and γ = 120.00°. The asymmetric unit holds U at (0.0000, 0.0000, 0.0000), Ge at (0.6667, 0.3333, 0.5000) and N at (0.3333, 0.6667, 0.0000).

As for the energy relative to the elements, uncorrected: -0.54 eV/atom. The calculation puts the energy relative to the lowest polymorph listed for this composition at 407 meV per atom.

***

(4)
A plane-wave DFT calculation with GGA-PBE was carried out for a geometry-optimized InReW2S structure.

It has space group P4/mmm (No. 123), with a = 4.9865 Å, b = 4.9865 Å, c = 4.5551 Å, α = 90.00°, β = 90.00° and γ = 90.00°. The asymmetric unit holds In at (0.0000, 0.0000, 0.0000), Re at (0.5000, 0.5000, 0.5000), W at (0.0000, 0.5000, 0.0000) and S at (0.0000, 0.0000, 0.5000).

As for the energy relative to the elements, uncorrected: 3.28 eV/atom.

***

(5)
A plane-wave DFT calculation with GGA-PBE was carried out for a geometry-optimized KZnB2F8 structure.

It has space group R-3 (No. 148, hexagonal axes), with a = 5.1540 Å, b = 5.1540 Å, c = 22.5548 Å, α = 90.00°, β = 90.00° and γ = 120.00°. The asymmetric unit holds K at (0.0000, 0.0000, 0.0000), Zn at (0.0000, 0.0000, 0.5000), B at (0.0000, 0.0000, 0.2535), F at (0.0000, 0.0000, 0.3163) and F at (0.0324, 0.7571, 0.7670).

As for the energy relative to the elements, uncorrected: -2.62 eV/atom.

***

(6)
A plane-wave DFT calculation with GGA-PBE was carried out for a geometry-optimized KHfS2Cl structure.

It has space group P4/mmm (No. 123), with a = 5.2276 Å, b = 5.2276 Å, c = 5.0115 Å, α = 90.00°, β = 90.00° and γ = 90.00°. The asymmetric unit holds K at (0.0000, 0.0000, 0.0000), Hf at (0.5000, 0.5000, 0.5000), S at (0.0000, 0.5000, 0.0000) and Cl at (0.0000, 0.0000, 0.5000).

As for the energy relative to the elements, uncorrected: 0.79 eV/atom. The calculation puts the energy relative to the lowest polymorph listed for this composition at 2307 meV per atom.

***

(7)
A plane-wave DFT calculation with GGA-PBE was carried out for a geometry-optimized Fe5Br3 structure.

It has space group P6_3/mcm (No. 193), with a = 9.2936 Å, b = 9.2936 Å, c = 4.4337 Å, α = 90.00°, β = 90.00° and γ = 120.00°. The asymmetric unit holds Fe at (0.0000, 0.1503, 0.2500), Fe at (0.3333, 0.6667, 0.0000) and Br at (0.0000, 0.3408, 0.7500).

As for the energy relative to the elements, uncorrected: 0.56 eV/atom. The calculation puts the energy relative to the lowest polymorph listed for this composition at 419 meV per atom.

***

(8)
A plane-wave DFT calculation with GGA-PBE was carried out for a geometry-optimized PuTi2Nb structure.

It has space group R-3m (No. 166, hexagonal axes), with a = 3.0289 Å, b = 3.0289 Å, c = 28.7483 Å, α = 90.00°, β = 90.00° and γ = 120.00°. The asymmetric unit holds Pu at (0.0000, 0.0000, 0.0000), Ti at (0.0000, 0.0000, 0.2465) and Nb at (0.0000, 0.0000, 0.5000).

The calculation puts the energy relative to the lowest polymorph listed for this composition at 96 meV per atom.

***

(9)
A plane-wave DFT calculation with GGA-PBE was carried out for a geometry-optimized Li2NiSbH structure.

It has space group P4/mmm (No. 123), with a = 4.7776 Å, b = 4.7776 Å, c = 4.5780 Å, α = 90.00°, β = 90.00° and γ = 90.00°. The asymmetric unit holds Li at (0.0000, 0.5000, 0.0000), Ni at (0.0000, 0.0000, 0.0000), Sb at (0.0000, 0.0000, 0.5000) and H at (0.5000, 0.5000, 0.5000).

The calculation puts the energy relative to the lowest polymorph listed for this composition at 658 meV per atom.

***

(10)
A plane-wave DFT calculation with GGA-PBE was carried out for a geometry-optimized NdEuTlIn structure.

It has space group F-43m (No. 216), with a = 7.8523 Å, b = 7.8523 Å, c = 7.8523 Å, α = 90.00°, β = 90.00° and γ = 90.00°. The asymmetric unit holds Nd at (0.0000, 0.0000, 0.0000), Eu at (0.0000, 0.0000, 0.5000), Tl at (0.2500, 0.2500, 0.7500) and In at (0.2500, 0.2500, 0.2500).

***

(11)
A plane-wave DFT calculation with GGA-PBE was carried out for a geometry-optimized YTmCS structure.

It has space group P4/mmm (No. 123), with a = 3.7512 Å, b = 3.7512 Å, c = 5.2574 Å, α = 90.00°, β = 90.00° and γ = 90.00°. The asymmetric unit holds Y at (0.0000, 0.0000, 0.0000), Tm at (0.5000, 0.5000, 0.5000), C at (0.0000, 0.0000, 0.5000) and S at (0.5000, 0.5000, 0.0000).

As for the energy relative to the elements, uncorrected: -1.08 eV/atom.

***

(12)
A plane-wave DFT calculation with GGA-PBE was carried out for a geometry-optimized PaHgPd4 structure.

It has space group F-43m (No. 216), with a = 7.5931 Å, b = 7.5931 Å, c = 7.5931 Å, α = 90.00°, β = 90.00° and γ = 90.00°. The asymmetric unit holds Pa at (0.0000, 0.0000, 0.0000), Hg at (0.2500, 0.2500, 0.2500) and Pd at (0.1247, 0.1247, 0.6247).

***

Number 1: E_tot -5.146 eV/atom. Number 2: E_tot -3.967 eV/atom. Number 3: E_tot -8.619 eV/atom. Number 4: E_tot -5.768 eV/atom. Number 5: E_tot -5.177 eV/atom. Number 6: E_tot -3.437 eV/atom. Number 7: E_tot -5.352 eV/atom. Number 8: E_tot -9.839 eV/atom. Number 9: E_tot -3.079 eV/atom. Number 10: E_tot -5.456 eV/atom. Number 11: E_tot -7.150 eV/atom. Number 12: E_tot -5.603 eV/atom.